Computed, not measured: TiPt3Pb2O12 after structural relaxation at the GGA-PBE level of DFT.

Cell lengths 7.297, 7.297, 7.297 Å; angles 59.11, 59.11, 59.11 degrees
Positions (direct):
Ti: 0.000 0.000 0.000
Pt: 0.500 0.000 0.000
Pt: 0.000 0.500 0.000
Pt: 0.000 0.000 0.500
Pb: 0.694 0.694 0.694
Pb: 0.306 0.306 0.306
O: 0.333 0.333 0.944
O: 0.931 0.931 0.319
O: 0.319 0.931 0.931
O: 0.944 0.333 0.333
O: 0.931 0.319 0.931
O: 0.333 0.944 0.333
O: 0.667 0.667 0.056
O: 0.069 0.069 0.681
O: 0.681 0.069 0.069
O: 0.056 0.667 0.667
O: 0.069 0.681 0.069
O: 0.667 0.056 0.667

Properties
For the total energy, the calculation gives -109.29 eV per formula unit. For the density of states at the Fermi level, the calculation gives 0.648 states/eV per atom. The calculation puts the formation energy from raw total energies at -16.4 eV per formula unit. As for the space-group type: No. 166. As for the total moment: 0.0000 μB/atom.